SrZnAs2 after structural relaxation, computed with PBE.

Size of the total moment, μB/atom: 0.00
Fermi-level density of states, states/eV/f.u.: 1.568
DFT formation energy, kJ/mol of atoms: -42
SG: C2/m (12)
Mass density, g/cm3: 4.8

Cell lengths 4.9052, 4.9052, 5.1299 Å; angles 106.07, 106.07, 64.74 degrees
Closest atoms and distances in Å follow each position.
Atoms (fractional coordinates):
Sr: 0.0000 0.0000 0.0000  8 As 3.18-3.51
Zn: 0.5000 0.5000 0.5000  2 As 2.35
As: 0.2496 0.2496 0.6202  1 Zn 2.35
As: 0.7504 0.7504 0.3798  1 Zn 2.35

TeIr2PdS after structural relaxation, computed with PBE.

Size of the total moment, μB/atom: 0.43
Fermi-level density of states, states/eV/f.u.: 8.349
Formation energy without anion corrections, eV/atom: 1.872
SG: P4/mmm (123)
Mass density, g/cm3: 9.1

Cell lengths 4.8868, 4.8868, 4.9448 Å; angles 90.00, 90.00, 90.00 degrees
Closest atoms and distances in Å follow each position.
Atoms (fractional coordinates):
Te: 0.0000 0.0000 0.0000  2 Pd 2.47
Ir: 0.0000 0.5000 0.5000  2 Pd 2.44
Ir: 0.5000 0.0000 0.5000  2 Pd 2.44
Pd: 0.0000 0.0000 0.5000  4 Ir 2.44, 2 Te 2.47
S: 0.5000 0.5000 0.0000  4 Te 3.46, 8 Ir 3.48

TlReRh2 after structural relaxation, computed with PBE.

Size of the total moment, μB/atom: 0.00
Fermi-level density of states, states/eV/f.u.: 5.108
DFT formation energy, kJ/mol of atoms: 38
SG: P4mm (99)
Mass density, g/cm3: 15.1

Cell lengths 2.8908, 2.8908, 7.8444 Å; angles 90.00, 90.00, 90.00 degrees
Closest atoms and distances in Å follow each position.
Atoms (fractional coordinates):
Tl: 0.0000 0.0000 0.0000  4 Rh 2.87, 4 Tl 2.89, 4 Re 3.04
Re: 0.5000 0.5000 0.2869  4 Rh 2.62, 4 Re 2.89
Rh: 0.0000 0.0000 0.4968  4 Re 2.62, 8 Rh 2.82-2.89
Rh: 0.5000 0.5000 0.7439  8 Rh 2.82-2.89, 4 Tl 2.87

Al5Sb after structural relaxation, computed with PBE.

Size of the total moment, μB/atom: 0.00
Fermi-level density of states, states/eV/f.u.: 2.375
Formation energy without anion corrections, eV/atom: 0.147
SG: P-62m (189)
Mass density, g/cm3: 3.8

Cell lengths 5.1884, 5.1884, 4.8364 Å; angles 90.00, 90.00, 120.00 degrees
Closest atoms and distances in Å follow each position.
Atoms (fractional coordinates):
Al: 0.0000 0.6469 0.0000  10 Al 2.91-3.17, 2 Sb 3.03
Al: 0.3333 0.6667 0.5000  9 Al 2.94-3.00, 3 Sb 3.00
Al: 0.3531 0.3531 0.0000  10 Al 2.91-3.17, 2 Sb 3.03
Al: 0.6469 0.0000 0.0000  10 Al 2.91-3.17, 2 Sb 3.03
Al: 0.6667 0.3333 0.5000  9 Al 2.94-3.00, 3 Sb 3.00
Sb: 0.0000 0.0000 0.5000  12 Al 3.00-3.03

Ba2MgMn after structural relaxation, computed with PBE.

Size of the total moment, μB/atom: 0.99
Fermi-level density of states, states/eV/f.u.: 4.514
DFT formation energy, kJ/mol of atoms: 32
SG: P4/mmm (123)
Mass density, g/cm3: 3.9

Cell lengths 5.9874, 5.9874, 4.2452 Å; angles 90.00, 90.00, 90.00 degrees
Closest atoms and distances in Å follow each position.
Atoms (fractional coordinates):
Ba: 0.0000 0.5000 0.0000  4 Mn 3.67, 4 Mg 3.67
Ba: 0.5000 0.0000 0.0000  4 Mn 3.67, 4 Mg 3.67
Mg: 0.0000 0.0000 0.5000  8 Ba 3.67
Mn: 0.5000 0.5000 0.5000  8 Ba 3.67

SmAlFeC after structural relaxation, computed with PBE.

Size of the total moment, μB/atom: 0.61
Fermi-level density of states, states/eV/f.u.: 1.779
DFT formation energy, kJ/mol of atoms: -5
SG: I4mm (107)
Mass density, g/cm3: 6.3

Cell lengths 5.7116, 5.7116, 5.7116 Å; angles 143.68, 143.68, 52.31 degrees
Closest atoms and distances in Å follow each position.
Atoms (fractional coordinates):
Sm: 0.0000 0.0000 0.0000  4 C 2.52
Al: 0.3063 0.3063 0.0000  1 C 2.09
Fe: 0.6916 0.6916 0.0000  1 C 1.86
C: 0.5100 0.5100 0.0000  1 Fe 1.86

ScCd2Si after structural relaxation, computed with PBE.

Size of the total moment, μB/atom: 0.00
Fermi-level density of states, states/eV/f.u.: 3.381
Formation energy without anion corrections, eV/atom: 0.007
SG: Pmmm (47)
Mass density, g/cm3: 6.0

Cell lengths 3.5485, 4.0433, 5.7658 Å; angles 90.00, 90.00, 90.00 degrees
Closest atoms and distances in Å follow each position.
Atoms (fractional coordinates):
Sc: 0.0000 0.0000 0.0000  2 Si 2.88, 8 Cd 3.07
Cd: 0.5000 0.5000 0.2565  2 Cd 2.81-2.96, 4 Si 3.03, 4 Sc 3.07
Cd: 0.5000 0.5000 0.7435  2 Cd 2.81-2.96, 4 Si 3.03, 4 Sc 3.07
Si: 0.0000 0.0000 0.5000  2 Sc 2.88, 8 Cd 3.03

AcPmSnRu after structural relaxation, computed with PBE.

Size of the total moment, μB/atom: 0.00
Fermi-level density of states, states/eV/f.u.: 2.784
DFT formation energy, kJ/mol of atoms: -17
SG: F-43m (216)
Mass density, g/cm3: 9.0

Cell lengths 5.3738, 5.3738, 5.3738 Å; angles 60.00, 60.00, 60.00 degrees
Closest atoms and distances in Å follow each position.
Atoms (fractional coordinates):
Ac: 0.0000 0.0000 0.0000  4 Sn 3.29, 4 Ru 3.29
Pm: 0.5000 0.5000 0.5000  4 Ru 3.29, 4 Sn 3.29
Sn: 0.2500 0.2500 0.2500  4 Pm 3.29, 4 Ac 3.29
Ru: 0.7500 0.7500 0.7500  4 Ac 3.29, 4 Pm 3.29

- Look up the Fermi-level density of states of the fourth one.
  2.375 states/eV/f.u.